The following is a DFT calculation (GGA-PBE) of crystalline TaPSeBr2 at its relaxed geometry.

Summary:
Energy above the lowest structure with this stoichiometry (meV per atom): 0.0
Formation energy without anion corrections (kJ/mol of atoms): 34.32
M_tot (μB/f.u.): 2.94
DOS(E_F) (states/eV per atom): 0.30

Cell: 5.223 5.223 5.008 Å, 90.00 90.00 90.00°
Fractional coordinates of all 5 atoms:
Se  0.000  0.000  0.500
P  0.500  0.500  0.500
Br  0.000  0.500  0.000
Br  0.500  0.000  0.000
Ta  0.000  0.000  0.000